one:
Entry from Alexandria: Ce6Pt2N after structural relaxation (PBE).

a b c (Å): 3.4773 14.0221 8.2246
angles (deg): 90.00 90.00 90.00
Last column: nearest neighbours and their distance in Å.
Space group Amm2 (No. 38)
Asymmetric unit:
Ce (0.0000, 0.0000, 0.0000)  2 N 2.41
Ce (0.0000, 0.0979, 0.6173)  2 N 2.66, 1 Ce 2.75
Ce (0.5000, 0.0000, 0.2817)  2 Ce 2.90, 4 Pt 3.17
Ce (0.5000, 0.1953, 0.9431)  4 Pt 2.92-2.99, 1 N 2.99
Pt (0.0000, 0.1877, 0.2392)  7 Ce 2.92-3.17
N (0.5000, 0.0000, 0.7969)  6 Ce 2.41-2.66

## Properties
DOS(E_F)   2.2068 states/eV per atom

***

two:
Entry from Alexandria: Ce6Pt2N after structural relaxation (PBE).

a b c (Å): 6.4878 8.0769 9.4325
angles (deg): 90.00 122.37 90.00
Last column: nearest neighbours and their distance in Å.
Space group P2_1/c (No. 14)
Asymmetric unit:
Ce (0.1610, 0.1613, 0.4744)  1 N 2.45
Ce (0.3107, 0.7262, 0.4707)  1 N 2.47
Ce (0.3149, 0.0302, 0.1860)  1 N 2.54
Pt (0.1605, 0.0805, 0.7779)  5 Ce 2.79-3.10
N (0.5000, 0.0000, 0.5000)  6 Ce 2.45-2.54

## Properties
DOS(E_F)   2.3376 states/eV per atom

***

Which of them is the least stable? Correct choice: one.

***

one:
Entry from Alexandria: CePu2N after structural relaxation (PBE).

a b c (Å): 3.3832 3.3832 7.2198
angles (deg): 90.00 90.00 90.00
Last column: nearest neighbours and their distance in Å.
Space group P4/mmm (No. 123)
Asymmetric unit:
Ce (0.0000, 0.0000, 0.0000)  4 N 2.39
Pu (0.0000, 0.5000, 0.5000)  4 Pu 2.39
N (0.5000, 0.5000, 0.0000)  4 Ce 2.39

## Properties
DOS(E_F)   1.8278 states/eV per atom

***

two:
Entry from Alexandria: CePu2N after structural relaxation (PBE).

a b c (Å): 3.0722 3.0722 8.5840
angles (deg): 90.00 90.00 90.00
Last column: nearest neighbours and their distance in Å.
Space group P4/mmm (No. 123)
Asymmetric unit:
Ce (0.0000, 0.0000, 0.0000)  4 Ce 3.07
Pu (0.5000, 0.5000, 0.3359)  4 N 2.59, 1 Pu 2.82
N (0.0000, 0.0000, 0.5000)  8 Pu 2.59

## Properties
DOS(E_F)   2.7258 states/eV per atom

***

three:
Entry from Alexandria: CePu2N after structural relaxation (PBE).

a b c (Å): 3.4565 3.4565 23.9788
angles (deg): 90.00 90.00 120.00
Last column: nearest neighbours and their distance in Å.
Space group R-3m (No. 166, hexagonal axes)
Asymmetric unit:
Ce (0.0000, 0.0000, 0.0000)  6 Pu 3.29, 6 Ce 3.46
Pu (0.0000, 0.0000, 0.2242)  3 N 2.43
N (0.0000, 0.0000, 0.5000)  6 Pu 2.43

## Properties
DOS(E_F)   3.1001 states/eV per atom

***

Which of them is the least stable? Correct choice: one.

***

one:
Entry from Alexandria: Ce2PuN after structural relaxation (PBE).

a b c (Å): 3.0448 3.0448 8.7222
angles (deg): 90.00 90.00 90.00
Last column: nearest neighbours and their distance in Å.
Space group P4/mmm (No. 123)
Asymmetric unit:
Ce (0.0000, 0.0000, 0.1672)  4 N 2.60
Pu (0.5000, 0.5000, 0.5000)  4 Pu 3.04
N (0.5000, 0.5000, 0.0000)  8 Ce 2.60

## Properties
DOS(E_F)   2.5394 states/eV per atom

***

two:
Entry from Alexandria: Ce2PuN after structural relaxation (PBE).

a b c (Å): 3.3971 3.3971 26.0922
angles (deg): 90.00 90.00 120.00
Last column: nearest neighbours and their distance in Å.
Space group R-3m (No. 166, hexagonal axes)
Asymmetric unit:
Ce (0.0000, 0.0000, 0.1112)  3 N 2.44
Pu (0.0000, 0.0000, 0.0000)  2 Ce 2.90
N (0.0000, 0.0000, 0.5000)  6 Ce 2.44

## Properties
DOS(E_F)   2.6686 states/eV per atom

***

Which of them is the least stable? Correct choice: one.

***

one:
Entry from Alexandria: Ce3PuN4 after structural relaxation (PBE).

a b c (Å): 7.0990 10.0556 3.5533
angles (deg): 90.00 90.00 90.00
Last column: nearest neighbours and their distance in Å.
Space group Cmmm (No. 65)
Asymmetric unit:
Ce (0.0000, 0.0000, 0.0000)  6 N 2.53-2.55
Ce (0.2500, 0.2500, 0.5000)  6 N 2.51
Pu (0.0000, 0.5000, 0.0000)  6 N 2.48-2.50
N (0.0000, 0.2517, 0.0000)  1 Pu 2.50, 5 Ce 2.51-2.53
N (0.2433, 0.5000, 0.5000)  2 Pu 2.48, 4 Ce 2.51-2.55

## Properties
DOS(E_F)   1.2242 states/eV per atom

***

two:
Entry from Alexandria: Ce3PuN4 after structural relaxation (PBE).

a b c (Å): 3.5453 3.5453 10.0678
angles (deg): 90.00 90.00 90.00
Last column: nearest neighbours and their distance in Å.
Space group P4/mmm (No. 123)
Asymmetric unit:
Ce (0.0000, 0.0000, 0.0000)  6 N 2.51-2.54
Ce (0.5000, 0.5000, 0.2511)  6 N 2.51-2.53
Pu (0.0000, 0.0000, 0.5000)  6 N 2.49-2.51
N (0.0000, 0.0000, 0.2528)  1 Pu 2.49, 5 Ce 2.51-2.54
N (0.5000, 0.5000, 0.0000)  6 Ce 2.51-2.53
N (0.5000, 0.5000, 0.5000)  2 Ce 2.51, 4 Pu 2.51

## Properties
DOS(E_F)   1.4218 states/eV per atom

***

Which of them is the least stable? Correct choice: two.

***

one:
Entry from Alexandria: CePu2N3 after structural relaxation (PBE).

a b c (Å): 3.4033 3.4033 8.7400
angles (deg): 90.00 90.00 90.00
Last column: nearest neighbours and their distance in Å.
Space group P-4m2 (No. 115)
Asymmetric unit:
Ce (0.0000, 0.0000, 0.0000)  4 N 2.41
Pu (0.0000, 0.5000, 0.6471)  5 N 2.23-2.43
N (0.0000, 0.5000, 0.3916)  5 Pu 2.23-2.43
N (0.5000, 0.5000, 0.0000)  4 Ce 2.41

## Properties
DOS(E_F)   2.2807 states/eV per atom

***

two:
Entry from Alexandria: CePu2N3 after structural relaxation (PBE).

a b c (Å): 3.5224 4.9719 10.5250
angles (deg): 90.00 90.00 90.00
Last column: nearest neighbours and their distance in Å.
Space group Immm (No. 71)
Asymmetric unit:
Ce (0.0000, 0.0000, 0.0000)  6 N 2.49-2.56
Pu (0.0000, 0.0000, 0.3336)  6 N 2.42-2.49
N (0.0000, 0.5000, 0.0000)  4 Pu 2.48, 2 Ce 2.49
N (0.0000, 0.5000, 0.3240)  4 Pu 2.42-2.49, 2 Ce 2.56

## Properties
DOS(E_F)   1.9823 states/eV per atom

***

Which of them is the least stable? Correct choice: one.

***

one:
Entry from Alexandria: Ce2ReN4 after structural relaxation (PBE).

a b c (Å): 6.0031 5.6997 6.7719
angles (deg): 90.00 108.11 90.00
Last column: nearest neighbours and their distance in Å.
Space group P2_1/m (No. 11)
Asymmetric unit:
Ce (0.2017, 0.2500, 0.0452)  6 N 2.39-2.65
Ce (0.2829, 0.2500, 0.5700)  4 N 2.42-2.65
Re (0.2590, 0.7500, 0.8060)  4 N 1.85-1.88
N (0.0377, 0.5053, 0.7556)  1 Re 1.88
N (0.4439, 0.7500, 0.0819)  1 Re 1.85
N (0.4522, 0.7500, 0.6354)  1 Re 1.87

## Properties
DOS(E_F)   1.2934 states/eV per atom

***

two:
Entry from Alexandria: Ce2ReN4 after structural relaxation (PBE).

a b c (Å): 5.4151 5.4151 25.4365
angles (deg): 90.00 90.00 90.00
Last column: nearest neighbours and their distance in Å.
Space group I4_1/acd (No. 142, origin choice 2)
Asymmetric unit:
Ce (0.0000, 0.2500, 0.0495)  3 N 2.25-2.47
Re (0.0000, 0.2500, 0.3750)  4 N 1.95
N (0.0000, 0.2500, 0.2891)  1 Re 2.19, 1 Ce 2.25
N (0.2020, 0.0480, 0.1250)  2 Re 1.95

## Properties
DOS(E_F)   0.6807 states/eV per atom

***

Which of them is the least stable? Correct choice: one.